# RbAgN2O

A relaxed structure of RbAgN2O (GGA-PBE, Alexandria). Values from VASP.

Output
As for the energy relative to the elements, uncorrected: 2286 meV per atom. The density of states at the Fermi level is 4.20 states/eV per cell.

Quantum ESPRESSO input file:
```
&SYSTEM
  ibrav = 0, nat = 5, ntyp = 4
/
ATOMIC_SPECIES
Rb 85.47 Rb.upf
Ag 107.87 Ag.upf
N 14.01 N.upf
O 16.00 O.upf
CELL_PARAMETERS angstrom
5.3287 0.0000 0.0000
0.0000 5.3287 0.0000
0.0000 0.0000 4.9176
ATOMIC_POSITIONS crystal
Rb 0.0000 0.0000 0.0000
Ag 0.5000 0.5000 0.5000
N 0.0000 0.5000 0.0000
N 0.5000 0.0000 0.0000
O 0.0000 0.0000 0.5000
```

---

# AgRhN2O

A relaxed structure of AgRhN2O (GGA-PBE, Alexandria). Values from VASP.

Output
As for the energy relative to the elements, uncorrected: 2154 meV per atom. The density of states at the Fermi level is 5.03 states/eV per cell.

Quantum ESPRESSO input file:
```
&SYSTEM
  ibrav = 0, nat = 5, ntyp = 4
/
ATOMIC_SPECIES
Ag 107.87 Ag.upf
Rh 102.91 Rh.upf
N 14.01 N.upf
O 16.00 O.upf
CELL_PARAMETERS angstrom
4.0215 0.0000 0.0000
0.0000 4.0215 0.0000
0.0000 0.0000 4.0550
ATOMIC_POSITIONS crystal
Ag 0.0000 0.0000 0.0000
Rh 0.5000 0.5000 0.5000
N 0.0000 0.5000 0.0000
N 0.5000 0.0000 0.0000
O 0.0000 0.0000 0.5000
```